# 1
# Ni

A geometry-optimized Ni structure (GGA-PBEsol, the Alexandria database).

```
data_Ni
_cell_length_a 2.754
_cell_length_b 2.754
_cell_length_c 2.754
_cell_angle_alpha 90.00
_cell_angle_beta 90.00
_cell_angle_gamma 90.00
_symmetry_space_group_name_H-M 'I m -3 m'
_symmetry_Int_Tables_number 229
_symmetry_space_group_name_Hall '-I 4 2 3'
loop_
_atom_site_label
_atom_site_fract_x
_atom_site_fract_y
_atom_site_fract_z
Ni1 0.000 0.000 0.000
```

- Magnetic moment: 1.08 Bohr magnetons per cell
- Final energy: -12.10 eV per cell
- Distance to the lowest polymorph of the same formula: 107 meV per atom
- Calculated volume: 10.4 Å³/f.u.
- Energy relative to the elements: 0.11 eV per atom



# 2
# Ni

A geometry-optimized Ni structure (GGA-PBEsol, the Alexandria database).

```
data_Ni
_cell_length_a 3.459
_cell_length_b 3.459
_cell_length_c 3.459
_cell_angle_alpha 90.00
_cell_angle_beta 90.00
_cell_angle_gamma 90.00
_symmetry_space_group_name_H-M 'F m -3 m'
_symmetry_Int_Tables_number 225
_symmetry_space_group_name_Hall '-F 4 2 3'
loop_
_atom_site_label
_atom_site_fract_x
_atom_site_fract_y
_atom_site_fract_z
Ni1 0.000 0.000 0.000
```

- Magnetic moment: 2.52 Bohr magnetons per cell
- Final energy: -24.63 eV per cell
- Distance to the lowest polymorph of the same formula: 0 meV per atom
- Calculated volume: 10.3 Å³/f.u.
- Energy relative to the elements: 0.00 eV per atom



# 3
# Ni

A geometry-optimized Ni structure (GGA-PBEsol, the Alexandria database).

```
data_Ni
_cell_length_a 2.894
_cell_length_b 2.894
_cell_length_c 2.496
_cell_angle_alpha 90.00
_cell_angle_beta 90.00
_cell_angle_gamma 90.00
_symmetry_space_group_name_H-M 'I 4/m m m'
_symmetry_Int_Tables_number 139
_symmetry_space_group_name_Hall '-I 4 2'
loop_
_atom_site_label
_atom_site_fract_x
_atom_site_fract_y
_atom_site_fract_z
Ni1 0.000 0.000 0.000
```

- Magnetic moment: 1.16 Bohr magnetons per cell
- Final energy: -12.14 eV per cell
- Distance to the lowest polymorph of the same formula: 87 meV per atom
- Calculated volume: 10.5 Å³/f.u.
- Energy relative to the elements: 0.09 eV per atom



# 4
# Ni

A geometry-optimized Ni structure (GGA-PBEsol, the Alexandria database).

```
data_Ni
_cell_length_a 2.4470
_cell_length_b 2.4470
_cell_length_c 4.0065
_cell_angle_alpha 90.00
_cell_angle_beta 90.00
_cell_angle_gamma 120.00
_symmetry_space_group_name_H-M 'P 63/m m c'
_symmetry_Int_Tables_number 194
_symmetry_space_group_name_Hall '-P 6c 2c'
loop_
_atom_site_label
_atom_site_fract_x
_atom_site_fract_y
_atom_site_fract_z
Ni1 0.3333 0.6667 0.2500
```

- Magnetic moment: 1.25 Bohr magnetons per cell
- Final energy: -12.26 eV per cell
- Distance to the lowest polymorph of the same formula: 26 meV per atom
- Calculated volume: 10.4 Å³/f.u.
- Energy relative to the elements: 0.03 eV per atom



# 5
# Ni4O

A geometry-optimized Ni4O structure (GGA-PBEsol, the Alexandria database).

```
data_Ni4O
_cell_length_a 3.697
_cell_length_b 3.697
_cell_length_c 3.697
_cell_angle_alpha 90.00
_cell_angle_beta 90.00
_cell_angle_gamma 90.00
_symmetry_space_group_name_H-M 'P m -3 m'
_symmetry_Int_Tables_number 221
_symmetry_space_group_name_Hall '-P 4 2 3'
loop_
_atom_site_label
_atom_site_fract_x
_atom_site_fract_y
_atom_site_fract_z
Ni1 0.000 0.000 0.000
Ni2 0.000 0.500 0.500
O1 0.500 0.500 0.500
```

- Raw formation energy: -0.02 eV/atom
- Magnetic moment: 1.54 Bohr magnetons per cell
- Final energy: -29.98 eV per cell
- Calculated volume: 50.5 Å³/f.u.



# 6
# Ni9O10

A geometry-optimized Ni9O10 structure (GGA-PBEsol, the Alexandria database).

```
data_Ni9O10
_cell_length_a 4.996
_cell_length_b 5.766
_cell_length_c 6.425
_cell_angle_alpha 102.97
_cell_angle_beta 97.02
_cell_angle_gamma 106.89
_symmetry_space_group_name_H-M 'P -1'
_symmetry_Int_Tables_number 2
_symmetry_space_group_name_Hall '-P 1'
loop_
_atom_site_label
_atom_site_fract_x
_atom_site_fract_y
_atom_site_fract_z
Ni1 0.000 0.000 0.000
Ni2 0.198 0.891 0.390
Ni3 0.202 0.404 0.390
Ni4 0.381 0.792 0.803
Ni5 0.400 0.306 0.808
O1 0.097 0.951 0.706
O2 0.107 0.446 0.678
O3 0.325 0.346 0.108
O4 0.326 0.874 0.113
O5 0.491 0.249 0.510
```

- Raw formation energy: -0.61 eV/atom
- Magnetic moment: 3.62 Bohr magnetons per cell
- Final energy: -119.46 eV per cell
- Calculated volume: 169.0 Å³/f.u.



# 7
# Ni5O6

A geometry-optimized Ni5O6 structure (GGA-PBEsol, the Alexandria database).

```
data_Ni5O6
_cell_length_a 5.067
_cell_length_b 8.546
_cell_length_c 4.984
_cell_angle_alpha 90.00
_cell_angle_beta 110.75
_cell_angle_gamma 90.00
_symmetry_space_group_name_H-M 'C 1 2/m 1'
_symmetry_Int_Tables_number 12
_symmetry_space_group_name_Hall '-C 2y'
loop_
_atom_site_label
_atom_site_fract_x
_atom_site_fract_y
_atom_site_fract_z
Ni1 0.000 0.000 0.000
Ni2 0.000 0.171 0.500
Ni3 0.000 0.340 0.000
O1 0.216 0.182 0.242
O2 0.243 0.000 0.784
```

- Raw formation energy: -0.69 eV/atom
- Magnetic moment: 0.12 Bohr magnetons per cell
- Final energy: -139.80 eV per cell
- Calculated volume: 100.9 Å³/f.u.



# 8
# Ni2PO5

A geometry-optimized Ni2PO5 structure (GGA-PBEsol, the Alexandria database).

```
data_Ni2PO5
_cell_length_a 6.998
_cell_length_b 6.203
_cell_length_c 7.390
_cell_angle_alpha 90.00
_cell_angle_beta 90.00
_cell_angle_gamma 90.00
_symmetry_space_group_name_H-M 'P n m a'
_symmetry_Int_Tables_number 62
_symmetry_space_group_name_Hall '-P 2ac 2n'
loop_
_atom_site_label
_atom_site_fract_x
_atom_site_fract_y
_atom_site_fract_z
Ni1 0.000 0.000 0.000
Ni2 0.144 0.250 0.275
P1 0.119 0.750 0.360
O1 0.057 0.250 0.524
O2 0.101 0.750 0.862
O3 0.132 0.554 0.230
O4 0.194 0.250 0.977
```

- Raw formation energy: -1.36 eV/atom
- Magnetic moment: 11.74 Bohr magnetons per cell
- Final energy: -220.78 eV per cell
- Distance to the lowest polymorph of the same formula: 14 meV per atom
- Calculated volume: 80.2 Å³/f.u.



# 9
# Ni4P2O9

A geometry-optimized Ni4P2O9 structure (GGA-PBEsol, the Alexandria database).

```
data_Ni4P2O9
_cell_length_a 6.386
_cell_length_b 10.900
_cell_length_c 9.088
_cell_angle_alpha 90.00
_cell_angle_beta 106.23
_cell_angle_gamma 90.00
_symmetry_space_group_name_H-M 'P 1 21/c 1'
_symmetry_Int_Tables_number 14
_symmetry_space_group_name_Hall '-P 2ybc'
loop_
_atom_site_label
_atom_site_fract_x
_atom_site_fract_y
_atom_site_fract_z
Ni1 0.051 0.131 0.323
Ni2 0.280 0.120 0.751
Ni3 0.314 0.599 0.459
Ni4 0.411 0.594 0.109
P1 0.218 0.169 0.083
P2 0.244 0.633 0.810
O1 0.013 0.100 0.092
O2 0.016 0.680 0.724
O3 0.179 0.195 0.532
O4 0.234 0.558 0.234
O5 0.238 0.514 0.904
O6 0.346 0.092 0.990
O7 0.355 0.186 0.254
O8 0.356 0.722 0.944
O9 0.385 0.611 0.700
```

- Raw formation energy: -1.33 eV/atom
- Magnetic moment: 32.06 Bohr magnetons per cell
- Final energy: -413.67 eV per cell
- Distance to the lowest polymorph of the same formula: 0 meV per atom
- Calculated volume: 151.8 Å³/f.u.



# 10
# Ni2P3O10

A geometry-optimized Ni2P3O10 structure (GGA-PBEsol, the Alexandria database).

```
data_Ni2P3O10
_cell_length_a 4.595
_cell_length_b 8.212
_cell_length_c 8.790
_cell_angle_alpha 90.00
_cell_angle_beta 97.80
_cell_angle_gamma 90.00
_symmetry_space_group_name_H-M 'P 1 21/m 1'
_symmetry_Int_Tables_number 11
_symmetry_space_group_name_Hall '-P 2yb'
loop_
_atom_site_label
_atom_site_fract_x
_atom_site_fract_y
_atom_site_fract_z
Ni1 0.038 0.072 0.338
P1 0.328 0.250 0.817
P2 0.393 0.750 0.460
P3 0.467 0.250 0.156
O1 0.163 0.093 0.793
O2 0.208 0.750 0.761
O3 0.227 0.592 0.492
O4 0.289 0.250 0.458
O5 0.313 0.092 0.188
O6 0.401 0.750 0.282
O7 0.480 0.750 0.020
```

- Raw formation energy: -1.67 eV/atom
- Magnetic moment: 8.07 Bohr magnetons per cell
- Final energy: -214.55 eV per cell
- Calculated volume: 164.3 Å³/f.u.



# 11
# NiP3O9

A geometry-optimized NiP3O9 structure (GGA-PBEsol, the Alexandria database).

```
data_NiP3O9
_cell_length_a 8.125
_cell_length_b 8.211
_cell_length_c 8.620
_cell_angle_alpha 90.00
_cell_angle_beta 90.00
_cell_angle_gamma 90.00
_symmetry_space_group_name_H-M 'P 21 21 21'
_symmetry_Int_Tables_number 19
_symmetry_space_group_name_Hall 'P 2ac 2ab'
loop_
_atom_site_label
_atom_site_fract_x
_atom_site_fract_y
_atom_site_fract_z
Ni1 0.138 0.140 0.146
P1 0.032 0.682 0.689
P2 0.168 0.507 0.197
P3 0.210 0.192 0.553
O1 0.044 0.233 0.648
O2 0.085 0.361 0.127
O3 0.091 0.592 0.335
O4 0.103 0.123 0.914
O5 0.138 0.819 0.624
O6 0.149 0.537 0.750
O7 0.164 0.159 0.390
O8 0.180 0.918 0.149
O9 0.200 0.633 0.059
```

- Raw formation energy: -1.79 eV/atom
- Magnetic moment: 3.79 Bohr magnetons per cell
- Final energy: -376.13 eV per cell
- Distance to the lowest polymorph of the same formula: 31 meV per atom
- Calculated volume: 143.8 Å³/f.u.



# 12
# NiP3O9

A geometry-optimized NiP3O9 structure (GGA-PBEsol, the Alexandria database).

```
data_NiP3O9
_cell_length_a 6.308
_cell_length_b 10.424
_cell_length_c 9.383
_cell_angle_alpha 90.00
_cell_angle_beta 90.00
_cell_angle_gamma 90.00
_symmetry_space_group_name_H-M 'P c c n'
_symmetry_Int_Tables_number 56
_symmetry_space_group_name_Hall '-P 2ab 2ac'
loop_
_atom_site_label
_atom_site_fract_x
_atom_site_fract_y
_atom_site_fract_z
Ni1 0.000 0.000 0.000
P1 0.137 0.131 0.287
P2 0.250 0.750 0.072
O1 0.092 0.690 0.183
O2 0.114 0.021 0.184
O3 0.149 0.652 0.476
O4 0.244 0.099 0.424
O5 0.250 0.250 0.207
```

- Raw formation energy: -1.81 eV/atom
- Magnetic moment: 3.98 Bohr magnetons per cell
- Final energy: -377.44 eV per cell
- Distance to the lowest polymorph of the same formula: 6 meV per atom
- Calculated volume: 154.2 Å³/f.u.